Entry 1:
Here is a relaxed Zr4CuNiP2 crystal from OQMD. Energies are from PBE.

## Properties
- Total energy: -7.70 eV/atom

abc: 5.2754 3.6569 7.5242
angles: 90.00 110.48 90.00
Closest atoms and distances in Å follow each position.
Space group Pm (No. 6)
Inequivalent atoms, fractional coordinates:
Zr 0.0000 0.0000 0.0000  2 Ni 2.68, 3 P 2.74-2.86, 2 Cu 2.80-2.87
Zr 0.0544 0.5000 0.6359  4 P 2.69-2.90, 2 Cu 2.74, 1 Ni 2.85
Zr 0.4955 0.0000 0.4894  2 Ni 2.73, 4 P 2.73-2.85, 1 Cu 2.90
Zr 0.5628 0.5000 0.1432  3 P 2.71-2.93, 2 Cu 2.74, 2 Ni 2.81
Cu 0.4194 0.0000 0.8534  2 P 2.35
Ni 0.1304 0.5000 0.2787  2 P 2.32
P 0.6406 0.5000 0.7767  2 Cu 2.35
P 0.9189 0.0000 0.3558  2 Ni 2.32


Entry 2:
Here is a relaxed PaCuNi crystal from OQMD. Energies are from PBE.

## Properties
- Total energy: -6.23 eV/atom

abc: 6.0823 6.0823 6.0823
angles: 90.00 90.00 90.00
Closest atoms and distances in Å follow each position.
Space group F-43m (No. 216)
Inequivalent atoms, fractional coordinates:
Pa 0.0000 0.0000 0.0000  4 Ni 2.63
Cu 0.0000 0.0000 0.5000  4 Ni 2.63
Ni 0.2500 0.2500 0.2500  4 Pa 2.63, 4 Cu 2.63


Entry 3:
Here is a relaxed PaCuNi crystal from OQMD. Energies are from PBE.

## Properties
- Total energy: -5.74 eV/atom

abc: 6.2676 6.2676 6.2676
angles: 90.00 90.00 90.00
Closest atoms and distances in Å follow each position.
Space group F-43m (No. 216)
Inequivalent atoms, fractional coordinates:
Pa 0.0000 0.0000 0.0000  4 Ni 2.71, 4 Cu 2.71
Cu 0.2500 0.2500 0.7500  4 Pa 2.71
Ni 0.2500 0.2500 0.2500  4 Pa 2.71


Entry 4:
Here is a relaxed CuNiPtPb crystal from OQMD. Energies are from PBE.

## Properties
- Total energy: -4.68 eV/atom

abc: 6.2904 6.2904 6.2904
angles: 90.00 90.00 90.00
Closest atoms and distances in Å follow each position.
Space group F-43m (No. 216)
Inequivalent atoms, fractional coordinates:
Cu 0.0000 0.0000 0.0000  4 Pb 2.72, 4 Pt 2.72
Ni 0.0000 0.0000 0.5000  4 Pb 2.72, 4 Pt 2.72
Pt 0.2500 0.2500 0.2500  4 Ni 2.72, 4 Cu 2.72
Pb 0.2500 0.2500 0.7500  4 Cu 2.72, 4 Ni 2.72


Entry 5:
Here is a relaxed ScCuNiPb crystal from OQMD. Energies are from PBE.

## Properties
- Total energy: -4.91 eV/atom

abc: 6.4776 6.4776 6.4776
angles: 90.00 90.00 90.00
Closest atoms and distances in Å follow each position.
Space group F-43m (No. 216)
Inequivalent atoms, fractional coordinates:
Sc 0.0000 0.0000 0.0000  4 Pb 2.80, 4 Cu 2.80
Cu 0.2500 0.2500 0.2500  4 Ni 2.80, 4 Sc 2.80
Ni 0.0000 0.0000 0.5000  4 Pb 2.80, 4 Cu 2.80
Pb 0.2500 0.2500 0.7500  4 Ni 2.80, 4 Sc 2.80


Entry 6:
Here is a relaxed ScCuNiPb crystal from OQMD. Energies are from PBE.

## Properties
- Total energy: -5.05 eV/atom

abc: 6.4354 6.4354 6.4354
angles: 90.00 90.00 90.00
Closest atoms and distances in Å follow each position.
Space group F-43m (No. 216)
Inequivalent atoms, fractional coordinates:
Sc 0.0000 0.0000 0.0000  4 Ni 2.79, 4 Cu 2.79
Cu 0.2500 0.2500 0.7500  4 Sc 2.79, 4 Pb 2.79
Ni 0.2500 0.2500 0.2500  4 Pb 2.79, 4 Sc 2.79
Pb 0.0000 0.0000 0.5000  4 Ni 2.79, 4 Cu 2.79